[1]
# MgTaCu

Crystalline MgTaCu at its relaxed geometry (GGA-PBEsol, Alexandria).

Cell lengths 4.230, 4.230, 4.230 Å; angles 60.00, 60.00, 60.00 degrees
Fractional positions:
Mg (0.000, 0.000, 0.000)
Ta (0.750, 0.750, 0.750)
Cu (0.250, 0.250, 0.250)

Output
* energy of formation: 1.3532 eV/atom
* D(E_F): 1.51 states/eV per cell
* size of the total moment: 0.00 μB/atom

[2]
# Rb2TlSnI

Crystalline Rb2TlSnI at its relaxed geometry (GGA-PBEsol, Alexandria).

Cell lengths 6.571, 6.571, 6.047 Å; angles 90.00, 90.00, 90.00 degrees
Fractional positions:
Rb (0.000, 0.500, 0.000)
Rb (0.500, 0.000, 0.000)
Tl (0.000, 0.000, 0.500)
Sn (0.500, 0.500, 0.500)
I (0.500, 0.500, 0.000)

Output
* formation energy from raw total energies: 0.2 kJ per mole of atoms
* D(E_F): 5.29 states/eV per cell
* size of the total moment: 0.00 μB/atom

[3]
# LiLa2Nb8O24

Crystalline LiLa2Nb8O24 at its relaxed geometry (GGA-PBEsol, Alexandria).

Cell lengths 8.835, 8.835, 7.799 Å; angles 90.00, 90.00, 127.25 degrees
Fractional positions:
Li (0.000, 0.000, 0.000)
La (0.000, 0.000, 0.500)
La (0.500, 0.500, 0.000)
Nb (0.122, 0.380, 0.249)
Nb (0.122, 0.380, 0.751)
Nb (0.380, 0.122, 0.249)
Nb (0.380, 0.122, 0.751)
Nb (0.620, 0.878, 0.249)
Nb (0.620, 0.878, 0.751)
Nb (0.878, 0.620, 0.249)
Nb (0.878, 0.620, 0.751)
O (0.000, 0.500, 0.213)
O (0.000, 0.500, 0.787)
O (0.117, 0.883, 0.276)
O (0.117, 0.883, 0.724)
O (0.130, 0.396, 0.500)
O (0.132, 0.323, 0.000)
O (0.245, 0.245, 0.283)
O (0.245, 0.245, 0.717)
O (0.323, 0.132, 0.000)
O (0.384, 0.616, 0.213)
O (0.384, 0.616, 0.787)
O (0.396, 0.130, 0.500)
O (0.500, 0.000, 0.213)
O (0.500, 0.000, 0.787)
O (0.604, 0.870, 0.500)
O (0.616, 0.384, 0.213)
O (0.616, 0.384, 0.787)
O (0.677, 0.868, 0.000)
O (0.755, 0.755, 0.283)
O (0.755, 0.755, 0.717)
O (0.868, 0.677, 0.000)
O (0.870, 0.604, 0.500)
O (0.883, 0.117, 0.276)
O (0.883, 0.117, 0.724)

Output
* formation energy from raw total energies: -252.0 kJ per mole of atoms
* D(E_F): 10.44 states/eV per cell
* size of the total moment: 0.03 μB/atom

[4]
# Zn2HgIr

Crystalline Zn2HgIr at its relaxed geometry (GGA-PBEsol, Alexandria).

Cell lengths 3.190, 3.190, 6.071 Å; angles 90.00, 90.00, 90.00 degrees
Fractional positions:
Zn (0.000, 0.000, 0.000)
Zn (0.500, 0.500, 0.232)
Hg (0.000, 0.000, 0.502)
Ir (0.500, 0.500, 0.803)

Output
* energy of formation: 0.1047 eV/atom
* D(E_F): 1.66 states/eV per cell
* size of the total moment: 0.00 μB/atom

[5]
# LiCu2Ni

Crystalline LiCu2Ni at its relaxed geometry (GGA-PBEsol, Alexandria).

Cell lengths 2.433, 2.433, 8.287 Å; angles 90.00, 90.00, 113.02 degrees
Fractional positions:
Li (0.000, 0.000, 0.000)
Cu (0.500, 0.500, 0.257)
Cu (0.500, 0.500, 0.743)
Ni (0.000, 0.000, 0.500)

Output
* energy of formation: 0.0436 eV/atom
* relative energy among the computed polymorphs: 62 meV per atom
* D(E_F): 1.93 states/eV per cell
* size of the total moment: 0.00 μB/atom

[6]
# MnNb2Pb

Crystalline MnNb2Pb at its relaxed geometry (GGA-PBEsol, Alexandria).

Cell lengths 4.639, 4.639, 4.639 Å; angles 60.00, 60.00, 60.00 degrees
Fractional positions:
Mn (0.000, 0.000, 0.000)
Nb (0.250, 0.250, 0.250)
Nb (0.750, 0.750, 0.750)
Pb (0.500, 0.500, 0.500)

Output
* energy of formation: 0.4817 eV/atom
* D(E_F): 7.36 states/eV per cell
* size of the total moment: 0.45 μB/atom

[7]
# BeTlRu2

Crystalline BeTlRu2 at its relaxed geometry (GGA-PBEsol, Alexandria).

Cell lengths 2.863, 3.730, 5.471 Å; angles 90.00, 101.95, 90.00 degrees
Fractional positions:
Be (0.000, 0.000, 0.000)
Tl (0.000, 0.000, 0.500)
Ru (0.356, 0.500, 0.203)
Ru (0.644, 0.500, 0.797)

Output
* energy of formation: 0.3599 eV/atom
* relative energy among the computed polymorphs: 81 meV per atom
* D(E_F): 4.12 states/eV per cell
* size of the total moment: 0.00 μB/atom

[8]
# MnAgRu

Crystalline MnAgRu at its relaxed geometry (GGA-PBEsol, Alexandria).

Cell lengths 4.044, 4.044, 4.044 Å; angles 60.00, 60.00, 60.00 degrees
Fractional positions:
Mn (0.000, 0.000, 0.000)
Ag (0.250, 0.250, 0.250)
Ru (0.750, 0.750, 0.750)

Output
* energy of formation: 0.8216 eV/atom
* relative energy among the computed polymorphs: 466 meV per atom
* D(E_F): 1.93 states/eV per cell
* size of the total moment: 0.66 μB/atom

[9]
# Sm2ZnIn

Crystalline Sm2ZnIn at its relaxed geometry (GGA-PBEsol, Alexandria).

Cell lengths 5.215, 5.215, 5.215 Å; angles 60.00, 60.00, 60.00 degrees
Fractional positions:
Sm (0.250, 0.250, 0.250)
Sm (0.750, 0.750, 0.750)
Zn (0.000, 0.000, 0.000)
In (0.500, 0.500, 0.500)

Output
* energy of formation: -0.4115 eV/atom
* D(E_F): 4.34 states/eV per cell
* size of the total moment: 0.00 μB/atom

[10]
# Mn2ZnPt

Crystalline Mn2ZnPt at its relaxed geometry (GGA-PBEsol, Alexandria).

Cell lengths 4.488, 4.488, 4.488 Å; angles 131.17, 131.17, 71.54 degrees
Fractional positions:
Mn (0.000, 0.000, 0.000)
Mn (0.750, 0.250, 0.500)
Zn (0.250, 0.750, 0.500)
Pt (0.500, 0.500, 0.000)

Output
* energy of formation: -0.0221 eV/atom
* D(E_F): 3.54 states/eV per cell
* size of the total moment: 0.86 μB/atom

[11]
# Be2IrPt

Crystalline Be2IrPt at its relaxed geometry (GGA-PBEsol, Alexandria).

Cell lengths 3.938, 3.938, 2.810 Å; angles 90.00, 90.00, 90.00 degrees
Fractional positions:
Be (0.000, 0.500, 0.000)
Be (0.500, 0.000, 0.000)
Ir (0.000, 0.000, 0.500)
Pt (0.500, 0.500, 0.500)

Output
* energy of formation: -0.7122 eV/atom
* relative energy among the computed polymorphs: 7 meV per atom
* D(E_F): 0.89 states/eV per cell
* size of the total moment: 0.00 μB/atom

[12]
# CrSb3F

Crystalline CrSb3F at its relaxed geometry (GGA-PBEsol, Alexandria).

Cell lengths 4.867, 4.867, 4.867 Å; angles 90.00, 90.00, 90.00 degrees
Fractional positions:
Cr (0.000, 0.000, 0.000)
Sb (0.000, 0.000, 0.500)
Sb (0.000, 0.500, 0.000)
Sb (0.500, 0.000, 0.000)
F (0.500, 0.500, 0.500)

Output
* formation energy from raw total energies: -1.8 kJ per mole of atoms
* D(E_F): 5.15 states/eV per cell
* size of the total moment: 0.02 μB/atom